Entry 1:
A plane-wave DFT calculation with PBE was carried out for a relaxed Zr2Pa2S7 crystal.

abc: 4.5108 4.5108 12.6130
angles: 90.00 90.00 90.00
Closest atoms and distances in Å follow each position.
Fractional positions:
1 Zr 0.5000 0.0000 0.3821  8 S 2.70-2.83
2 Zr 0.0000 0.5000 0.6179  8 S 2.70-2.83
3 Pa 0.5000 0.0000 0.8655  6 S 2.66-2.82
4 Pa 0.0000 0.5000 0.1345  6 S 2.66-2.82
5 S 0.5000 0.5000 0.0000  4 Pa 2.82
6 S 0.0000 0.0000 0.2464  2 Pa 2.66, 2 Zr 2.83
7 S 0.5000 0.5000 0.2603  2 Zr 2.73, 2 Pa 2.76, 1 S 3.02
8 S 0.0000 0.0000 0.5000  4 Zr 2.70
9 S 0.5000 0.5000 0.5000  4 Zr 2.70, 2 S 3.02
10 S 0.0000 0.0000 0.7536  2 Pa 2.66, 2 Zr 2.83
11 S 0.5000 0.5000 0.7397  2 Zr 2.73, 2 Pa 2.76, 1 S 3.02

Energy relative to the elements, uncorrected in eV per formula unit: -13.8
D(E_F) in states/eV per cell: 13.33
Raw total energy in eV/cell: -78.81

Entry 2:
A plane-wave DFT calculation with PBE was carried out for a relaxed La2Sm6Dy3Y crystal.

abc: 6.2785 6.2785 12.0183
angles: 95.01 95.01 120.00
Closest atoms and distances in Å follow each position.
Fractional positions:
1 La 0.3335 0.6665 0.0000  3 La 3.62-3.63, 3 Y 3.62-3.63, 6 Sm 3.67
2 La 0.6665 0.3335 0.0000  3 La 3.62-3.63, 3 Y 3.62-3.63, 6 Sm 3.67
3 Sm 0.9146 0.5820 0.7453  3 Dy 3.58, 6 Sm 3.62-3.63, 1 Y 3.67, 2 La 3.67
4 Sm 0.7529 0.7529 0.2551  3 Dy 3.57-3.58, 6 Sm 3.62-3.63, 1 Y 3.67, 2 La 3.67
5 Sm 0.0854 0.4180 0.2547  3 Dy 3.58, 6 Sm 3.62-3.63, 1 Y 3.67, 2 La 3.67
6 Sm 0.5820 0.9146 0.7453  3 Dy 3.58, 6 Sm 3.62-3.63, 1 Y 3.67, 2 La 3.67
7 Sm 0.2471 0.2471 0.7449  3 Dy 3.57-3.58, 6 Sm 3.62-3.63, 1 Y 3.67, 2 La 3.67
8 Sm 0.4180 0.0854 0.2547  3 Dy 3.58, 6 Sm 3.62-3.63, 1 Y 3.67, 2 La 3.67
9 Dy 0.1663 0.8337 0.5000  6 Sm 3.57-3.58, 6 Dy 3.62-3.63
10 Dy 0.8337 0.1663 0.5000  6 Sm 3.57-3.58, 6 Dy 3.62-3.63
11 Dy 0.5000 0.5000 0.5000  6 Sm 3.58, 6 Dy 3.62-3.63
12 Y 0.0000 0.0000 0.0000  6 La 3.62-3.63, 6 Sm 3.67

D(E_F) in states/eV per cell: 17.51
Raw total energy in eV/cell: -58.20

Entry 3:
A plane-wave DFT calculation with PBE was carried out for a relaxed Sm5C2Se2 crystal.

abc: 7.3848 7.3867 8.1441
angles: 90.00 63.04 90.00
Closest atoms and distances in Å follow each position.
Fractional positions:
1 Sm 0.0000 0.0000 0.0000  4 C 2.71-2.79, 2 Se 2.94
2 Sm 0.5000 0.5000 0.0000  4 C 2.71-2.79, 2 Se 2.94
3 Sm 0.4614 0.1547 0.7640  1 C 2.52
4 Sm 0.7746 0.8453 0.7640  1 C 2.52
5 Sm 0.2746 0.6547 0.7640  1 C 2.52
6 Sm 0.9614 0.3453 0.7640  1 C 2.52
7 Sm 0.5386 0.8453 0.2360  1 C 2.52
8 Sm 0.2254 0.1547 0.2360  1 C 2.52
9 Sm 0.7254 0.3453 0.2360  1 C 2.52
10 Sm 0.0386 0.6547 0.2360  1 C 2.52
11 C 0.1709 0.3369 0.0000  4 Sm 2.52-2.79
12 C 0.8291 0.6631 0.0000  4 Sm 2.52-2.79
13 C 0.3291 0.8369 0.0000  4 Sm 2.52-2.79
14 C 0.6709 0.1631 0.0000  4 Sm 2.52-2.79
15 Se 0.2022 0.0000 0.5955  7 Sm 2.94-3.07
16 Se 0.7022 0.5000 0.5955  7 Sm 2.94-3.07
17 Se 0.7978 0.0000 0.4045  7 Sm 2.94-3.07
18 Se 0.2978 0.5000 0.4045  7 Sm 2.94-3.07

Energy relative to the elements, uncorrected in eV per formula unit: -6.1
D(E_F) in states/eV per cell: 11.98
Raw total energy in eV/cell: -110.32

Entry 4:
A plane-wave DFT calculation with PBE was carried out for a relaxed LiPd4Au4 crystal.

abc: 6.9843 6.9843 6.0665
angles: 125.14 125.14 90.00
Closest atoms and distances in Å follow each position.
Fractional positions:
1 Li 0.0000 0.0000 0.0000  2 Pd 2.33
2 Pd 0.5000 0.0000 0.0000  8 Au 2.89-3.19
3 Pd 0.0000 0.5000 0.0000  8 Au 2.89-3.19
4 Pd 0.3302 0.3302 0.6604  1 Li 2.33, 1 Pd 2.39, 4 Au 2.55
5 Pd 0.6698 0.6698 0.3396  1 Li 2.33, 1 Pd 2.39, 4 Au 2.55
6 Au 0.5431 0.5431 0.5737  2 Pd 2.55, 1 Li 2.84
7 Au 0.4569 0.9694 0.4263  2 Pd 2.55, 1 Li 2.84
8 Au 0.0306 0.0306 0.5737  2 Pd 2.55, 1 Li 2.84
9 Au 0.9694 0.4569 0.4263  2 Pd 2.55, 1 Li 2.84

Energy above the most stable polymorph in this dataset in meV per atom: 512
D(E_F) in states/eV per cell: 7.13
Raw total energy in eV/cell: -33.12

Entry 5:
A plane-wave DFT calculation with PBE was carried out for a relaxed SrLiCdPb2 crystal.

abc: 5.3000 5.3000 5.1219
angles: 90.00 90.00 90.00
Closest atoms and distances in Å follow each position.
Fractional positions:
1 Pb 0.0000 0.5000 0.0000  2 Li 2.65
2 Pb 0.5000 0.0000 0.0000  2 Li 2.65
3 Sr 0.5000 0.5000 0.5000  8 Pb 3.69, 4 Cd 3.75
4 Li 0.0000 0.0000 0.0000  2 Cd 2.56, 4 Pb 2.65
5 Cd 0.0000 0.0000 0.5000  2 Li 2.56

Energy above the most stable polymorph in this dataset in meV per atom: 139
D(E_F) in states/eV per cell: 2.82
Raw total energy in eV/cell: -12.87

Entry 6:
A plane-wave DFT calculation with PBE was carried out for a relaxed OsBrF3 crystal.

abc: 4.5637 4.5637 4.5637
angles: 90.00 90.00 90.00
Closest atoms and distances in Å follow each position.
Fractional positions:
1 Os 0.5000 0.5000 0.5000  12 F 3.23
2 Br 0.0000 0.0000 0.0000  6 F 2.28
3 F 0.0000 0.5000 0.0000  2 Br 2.28
4 F 0.0000 0.0000 0.5000  2 Br 2.28
5 F 0.5000 0.0000 0.0000  2 Br 2.28

Energy above the most stable polymorph in this dataset in meV per atom: 2064
Energy relative to the elements, uncorrected in eV per formula unit: 4.2
D(E_F) in states/eV per cell: 10.11
Raw total energy in eV/cell: -14.30